No. 1
This record from Alexandria via LeMat-Bulk describes a relaxed Ir6OsRh4 crystal. The functional is PBE.

Values from the calculation:
**Density**: 16.7 g/cm3
**Formation energy from the elements**: 4.42 eV/f.u.
**M_tot**: 0.0 Bohr magnetons per cell

Unit cell a=7.3667 b=7.3667 c=7.3667 alpha=60.22 beta=138.45 gamma=138.45
Fractional positions:
Rh: 0.3947 0.3607 0.3607
Rh: 0.0000 0.6393 0.0340
Rh: 0.6053 0.9660 0.9660
Rh: 0.0000 0.0340 0.6393
Ir: 0.5000 0.0000 0.5000
Ir: 0.3725 0.5477 0.5477
Ir: 0.6275 0.1752 0.1752
Ir: 0.0000 0.8248 0.4523
Ir: 0.0000 0.4523 0.8248
Ir: 0.5000 0.5000 0.0000
Os: 0.0000 0.0000 0.0000

No. 2
This record from Alexandria via LeMat-Bulk describes a relaxed ReAg2Pd crystal. The functional is PBE.

Values from the calculation:
**Density**: 11.8 g/cm3
**Energy above the lowest structure with this stoichiometry**: 0.324 eV per atom
**Formation energy from the elements**: 4.58 eV/f.u.
**M_tot**: 0.0 Bohr magnetons per cell

Unit cell a=7.3526 b=7.3526 c=5.8386 alpha=50.98 beta=50.98 gamma=90.00
Fractional positions:
Ag: 0.1223 0.6250 0.2500
Ag: 0.3750 0.3723 0.7500
Ag: 0.8750 0.8777 0.7500
Ag: 0.6277 0.1250 0.2500
Pd: 0.2500 0.7500 0.5000
Pd: 0.5000 0.5000 0.0000
Re: 0.0000 0.0000 0.0000
Re: 0.7500 0.2500 0.5000

No. 3
This record from Alexandria via LeMat-Bulk describes a relaxed CeCuAsO crystal. The functional is PBE.

Values from the calculation:
**Density**: 7.5 g/cm3
**Final energy**: -6.7178 eV/atom
**M_tot**: 0.4 Bohr magnetons per cell

Unit cell a=3.9455 b=3.9455 c=8.3991 alpha=90.00 beta=90.00 gamma=90.00
Fractional positions:
Ce: 0.5000 0.0000 0.6498
Ce: 0.0000 0.5000 0.3502
As: 0.5000 0.0000 0.1766
As: 0.0000 0.5000 0.8234
Cu: 0.0000 0.0000 0.0000
Cu: 0.5000 0.5000 0.0000
O: 0.5000 0.5000 0.5000
O: 0.0000 0.0000 0.5000

No. 4
This record from Alexandria via LeMat-Bulk describes a relaxed CrHSe2 crystal. The functional is PBE.

Values from the calculation:
**Density**: 3.3 g/cm3
**Energy above the lowest structure with this stoichiometry**: 0.237 eV per atom
**M_tot**: 4.5 Bohr magnetons per cell

Unit cell a=6.7774 b=8.0507 c=8.0507 alpha=80.59 beta=124.23 gamma=55.77
Fractional positions:
H: 0.2500 0.1690 0.6690
H: 0.7500 0.8310 0.3310
Se: 0.3301 0.9984 0.2169
Se: 0.1699 0.7169 0.4984
Se: 0.6699 0.0016 0.7831
Se: 0.8301 0.2831 0.5016
Cr: 0.7500 0.2506 0.7506
Cr: 0.2500 0.7494 0.2494

No. 5
This record from Alexandria via LeMat-Bulk describes a relaxed Hf3TiCu crystal. The functional is PBE.

Values from the calculation:
**Density**: 9.4 g/cm3
**Energy above the lowest structure with this stoichiometry**: 0.000 eV per atom
**Formation energy from the elements**: 3.41 eV/f.u.
**M_tot**: 2.9 Bohr magnetons per cell

Unit cell a=4.8539 b=4.8539 c=4.8539 alpha=90.00 beta=90.00 gamma=90.00
Fractional positions:
Hf: 0.5000 0.0000 0.0000
Hf: 0.0000 0.5000 0.0000
Hf: 0.0000 0.0000 0.5000
Ti: 0.5000 0.5000 0.5000
Cu: 0.0000 0.0000 0.0000

No. 6
This record from Alexandria via LeMat-Bulk describes a relaxed CsCa2Cu2 crystal. The functional is PBE.

Values from the calculation:
**Density**: 3.6 g/cm3
**Energy above the lowest structure with this stoichiometry**: 0.000 eV per atom
**Formation energy from the elements**: 0.94 eV/f.u.
**M_tot**: 0.0 Bohr magnetons per cell

Unit cell a=8.7425 b=8.7425 c=4.1063 alpha=90.00 beta=90.00 gamma=90.00
Fractional positions:
Cs: 0.0000 0.0000 0.0000
Cs: 0.5000 0.5000 0.0000
Ca: 0.3515 0.1485 0.5000
Ca: 0.1485 0.6485 0.5000
Ca: 0.6485 0.8515 0.5000
Ca: 0.8515 0.3515 0.5000
Cu: 0.3975 0.8975 0.0000
Cu: 0.1025 0.3975 0.0000
Cu: 0.8975 0.6025 0.0000
Cu: 0.6025 0.1025 0.0000

No. 7
This record from Alexandria via LeMat-Bulk describes a relaxed CaMgPI2 crystal. The functional is PBE.

Values from the calculation:
**Density**: 3.6 g/cm3
**Final energy**: -2.8221 eV/atom
**M_tot**: 1.0 Bohr magnetons per cell

Unit cell a=5.7177 b=4.9601 c=5.7177 alpha=90.00 beta=90.00 gamma=90.00
Fractional positions:
Mg: 0.0000 0.0000 0.0000
P: 0.0000 0.5000 0.0000
I: 0.5000 0.0000 0.0000
I: 0.0000 0.0000 0.5000
Ca: 0.5000 0.5000 0.5000

No. 8
This record from Alexandria via LeMat-Bulk describes a relaxed LaSmDyCd crystal. The functional is PBE.

Values from the calculation:
**Density**: 7.6 g/cm3
**Energy above the lowest structure with this stoichiometry**: 0.096 eV per atom
**Formation energy from the elements**: -0.18 eV/f.u.
**M_tot**: 0.0 Bohr magnetons per cell

Unit cell a=5.5833 b=5.5833 c=5.5833 alpha=60.00 beta=60.00 gamma=60.00
Fractional positions:
Dy: 0.2500 0.2500 0.2500
Cd: 0.7500 0.7500 0.7500
Sm: 0.5000 0.5000 0.5000
La: 0.0000 0.0000 0.0000

No. 9
This record from Alexandria via LeMat-Bulk describes a relaxed Sm2NiPd crystal. The functional is PBE.

Values from the calculation:
**Density**: 8.5 g/cm3
**Energy above the lowest structure with this stoichiometry**: 0.000 eV per atom
**Formation energy from the elements**: -2.37 eV/f.u.
**M_tot**: 0.0 Bohr magnetons per cell

Unit cell a=4.4281 b=5.6439 c=7.7126 alpha=110.10 beta=90.00 gamma=90.00
Fractional positions:
Pd: 0.7500 0.6624 0.7885
Pd: 0.2500 0.3376 0.2115
Sm: 0.2500 0.7808 0.5655
Sm: 0.7500 0.2192 0.4345
Sm: 0.2500 0.7722 0.0723
Sm: 0.7500 0.2278 0.9277
Ni: 0.7500 0.6570 0.2906
Ni: 0.2500 0.3430 0.7094

No. 10
This record from Alexandria via LeMat-Bulk describes a relaxed AcH2PbF8 crystal. The functional is PBE.

Values from the calculation:
**Density**: 6.2 g/cm3
**Final energy**: -5.0227 eV/atom
**M_tot**: 0.0 Bohr magnetons per cell

Unit cell a=4.1296 b=4.6637 c=9.0856 alpha=88.42 beta=88.46 gamma=65.13
Fractional positions:
F: 0.7705 0.2847 0.7598
F: 0.3387 0.2847 0.0014
F: 0.6600 0.6853 0.4856
F: 0.3400 0.3147 0.5144
F: 0.2414 0.7317 0.7597
F: 0.7586 0.2683 0.2403
F: 0.2295 0.7153 0.2402
F: 0.6613 0.7153 0.9986
Pb: 0.0000 0.0000 0.0000
Ac: 0.0000 0.0000 0.5000
H: 0.4924 0.4957 0.2365
H: 0.5076 0.5043 0.7635

No. 11
This record from Alexandria via LeMat-Bulk describes a relaxed ReSi2Ir crystal. The functional is PBE.

Values from the calculation:
**Density**: 13.6 g/cm3
**Energy above the lowest structure with this stoichiometry**: 0.007 eV per atom
**M_tot**: 0.0 Bohr magnetons per cell

Unit cell a=4.2039 b=4.2039 c=2.9975 alpha=90.00 beta=90.00 gamma=89.99
Fractional positions:
Si: 0.5000 0.5000 0.0000
Si: 0.0000 0.0000 0.0000
Re: 0.0000 0.5000 0.5000
Ir: 0.5000 0.0000 0.5000

No. 12
This record from Alexandria via LeMat-Bulk describes a relaxed LiZn11Ga crystal. The functional is PBE.

Values from the calculation:
**Density**: 6.4 g/cm3
**Formation energy from the elements**: -0.12 eV/f.u.
**M_tot**: 0.0 Bohr magnetons per cell

Unit cell a=5.2484 b=6.8353 c=6.8004 alpha=81.49 beta=67.30 gamma=67.45
Fractional positions:
Zn: 0.9904 0.6498 0.3525
Zn: 0.0096 0.3502 0.6475
Zn: 0.2825 0.2134 0.2154
Zn: 0.5000 0.0000 0.5000
Zn: 0.0000 0.5000 0.0000
Zn: 0.6570 0.3502 0.3525
Zn: 0.3430 0.6498 0.6475
Zn: 0.4979 0.2134 0.7846
Zn: 0.5021 0.7866 0.2154
Zn: 0.0000 0.0000 0.5000
Zn: 0.7175 0.7866 0.7846
Ga: 0.5000 0.5000 0.0000
Li: 0.0000 0.0000 0.0000

No. 13
This record from Alexandria via LeMat-Bulk describes a relaxed HgAsPSe2 crystal. The functional is PBE.

Values from the calculation:
**Density**: 6.5 g/cm3
**Energy above the lowest structure with this stoichiometry**: 0.000 eV per atom
**M_tot**: 0.6 Bohr magnetons per cell

Unit cell a=4.9429 b=4.9429 c=4.8320 alpha=90.00 beta=90.00 gamma=90.00
Fractional positions:
P: 0.0000 0.0000 0.0000
Hg: 0.5000 0.5000 0.5000
Se: 0.0000 0.5000 0.0000
Se: 0.5000 0.0000 0.0000
As: 0.0000 0.0000 0.5000

No. 14
This record from Alexandria via LeMat-Bulk describes a relaxed Be2ReMo crystal. The functional is PBE.

Values from the calculation:
**Density**: 10.5 g/cm3
**Energy above the lowest structure with this stoichiometry**: 0.334 eV per atom
**Formation energy from the elements**: 0.37 eV/f.u.
**M_tot**: 0.0 Bohr magnetons per cell

Unit cell a=2.5733 b=3.0399 c=6.0633 alpha=90.00 beta=90.00 gamma=90.00
Fractional positions:
Re: 0.5000 0.5000 0.7500
Be: 0.0000 0.0000 0.5110
Be: 0.0000 0.0000 0.9890
Mo: 0.5000 0.5000 0.2500

No. 15
This record from Alexandria via LeMat-Bulk describes a relaxed Ac2GeRu crystal. The functional is PBE.

Values from the calculation:
**Density**: 8.7 g/cm3
**Formation energy from the elements**: -1.29 eV/f.u.
**M_tot**: 0.0 Bohr magnetons per cell

Unit cell a=4.8387 b=9.3123 c=6.2820 alpha=111.76 beta=112.65 gamma=90.00
Fractional positions:
Ac: 0.1725 0.5862 0.3450
Ac: 0.8275 0.4138 0.6550
Ac: 0.8275 0.9138 0.6550
Ac: 0.1725 0.0862 0.3450
Ge: 0.5001 0.2500 0.0000
Ge: 0.4999 0.7500 0.0000
Ru: 0.9999 0.7500 0.0000
Ru: 0.0001 0.2500 0.0000

No. 16
This record from Alexandria via LeMat-Bulk describes a relaxed Ba2CePd crystal. The functional is PBE.

Values from the calculation:
**Density**: 5.1 g/cm3
**Formation energy from the elements**: 0.58 eV/f.u.
**M_tot**: 1.9 Bohr magnetons per cell

Unit cell a=4.1237 b=4.1237 c=11.8668 alpha=79.99 beta=79.99 gamma=60.00
Fractional positions:
Ba: 0.8907 0.8907 0.3279
Ba: 0.1093 0.1093 0.6721
Pd: 0.5000 0.5000 0.5000
Ce: 0.0000 0.0000 0.0000

No. 17
This record from Alexandria via LeMat-Bulk describes a relaxed K2LaSi crystal. The functional is PBE.

Values from the calculation:
**Density**: 2.0 g/cm3
**Final energy**: -3.0983 eV/atom
**M_tot**: 0.0 Bohr magnetons per cell

Unit cell a=4.8257 b=4.8257 c=10.4483 alpha=77.27 beta=77.27 gamma=59.61
Fractional positions:
La: 0.5365 0.5365 0.3934
Si: 0.2335 0.2335 0.3015
K: 0.7656 0.7656 0.7061
K: 0.9643 0.9643 0.0990

No. 18
This record from Alexandria via LeMat-Bulk describes a relaxed CaCeSmEr crystal. The functional is PBE.

Values from the calculation:
**Density**: 6.1 g/cm3
**Formation energy from the elements**: 0.97 eV/f.u.
**M_tot**: 2.1 Bohr magnetons per cell

Unit cell a=5.7743 b=5.7743 c=5.7743 alpha=60.00 beta=60.00 gamma=60.00
Fractional positions:
Ca: 0.2500 0.2500 0.2500
Er: 0.5000 0.5000 0.5000
Ce: 0.7500 0.7500 0.7500
Sm: 0.0000 0.0000 0.0000

No. 19
This record from Alexandria via LeMat-Bulk describes a relaxed Ce3Zn2Hg6 crystal. The functional is PBE.

Values from the calculation:
**Density**: 10.1 g/cm3
**Formation energy from the elements**: -1.41 eV/f.u.
**M_tot**: 4.2 Bohr magnetons per cell

Unit cell a=4.2724 b=4.2724 c=16.0648 alpha=97.64 beta=97.64 gamma=90.00
Fractional positions:
Ce: 0.1725 0.1725 0.3450
Ce: 0.8275 0.8275 0.6550
Ce: 0.0000 0.0000 0.0000
Zn: 0.6378 0.6378 0.2755
Zn: 0.3622 0.3622 0.7245
Hg: 0.0786 0.5786 0.1572
Hg: 0.7257 0.7257 0.4514
Hg: 0.5786 0.0786 0.1572
Hg: 0.4214 0.9214 0.8428
Hg: 0.2743 0.2743 0.5486
Hg: 0.9214 0.4214 0.8428

No. 20
This record from Alexandria via LeMat-Bulk describes a relaxed FeNiSe2N crystal. The functional is PBE.

Values from the calculation:
**Density**: 5.7 g/cm3
**Energy above the lowest structure with this stoichiometry**: 0.218 eV per atom
**M_tot**: 3.5 Bohr magnetons per cell

Unit cell a=4.9620 b=4.9620 c=3.3681 alpha=90.00 beta=90.00 gamma=90.00
Fractional positions:
Ni: 0.0000 0.0000 0.0000
Se: 0.0000 0.5000 0.0000
Se: 0.5000 0.0000 0.0000
N: 0.0000 0.0000 0.5000
Fe: 0.5000 0.5000 0.5000